K2CaBe2Se4 (PBE, optimized geometry); ΔE_f (raw) = -1189 meV/atom; SG = No. 12
1.0
7.7263 -1.9794 0.0000
7.7263 1.9794 0.0000
-2.9058 0.0000 7.4320
K Ca Be Se
2 1 2 4
Cartesian
1.8055 0.0000 0.3289
10.7414 0.0000 7.1031
-1.4529 0.0000 3.7160
3.4833 0.0000 3.9397
9.0636 0.0000 3.4923
1.3551 0.0000 4.8421
5.0858 0.0000 5.4447
7.4611 0.0000 1.9874
11.1918 0.0000 2.5899



Ta2InRh (PBE, optimized geometry); SG = No. 119; formation energy from the elements = 0.020 eV/atom
1.0
-2.0025 2.0025 4.4270
2.0025 -2.0025 4.4270
2.0025 2.0025 -4.4270
Ta In Rh
2 1 1
Cartesian
0.0000 0.0000 0.0000
0.0000 2.0025 2.2135
2.0025 0.0000 2.2135
0.0000 0.0000 4.4270



TmScPd2 (PBE, optimized geometry); E above lowest polymorph = 0.018 eV per atom; SG = No. 225; formation energy from the elements = -0.908 eV/atom
1.0
0.0000 3.3939 3.3939
3.3939 0.0000 3.3939
3.3939 3.3939 0.0000
Tm Sc Pd
1 1 2
Cartesian
0.0000 0.0000 0.0000
3.3939 3.3939 3.3939
1.6970 1.6970 1.6970
5.0909 5.0909 5.0909



AcTlBi (PBE, optimized geometry); E above lowest polymorph = 0.049 eV per atom; SG = No. 107; formation energy from the elements = -0.394 eV/atom
1.0
-2.3440 2.3440 4.9546
2.3440 -2.3440 4.9546
2.3440 2.3440 -4.9546
Ac Tl Bi
1 1 1
Cartesian
0.0000 0.0000 0.0000
0.0000 0.0000 3.3059
0.0000 0.0000 6.3878